1.
Compound: ZrGaAg
Source: Alexandria via LeMat-Bulk
Functional: PBE
Structure: relaxed

Computed properties:
- total DFT energy (no corrections) (eV/atom) = -5.07
- E_form (eV/atom) = -0.265

Cell: 6.229 4.176 8.657 Å, 90.00 90.00 90.00°
Positions (direct):
Zr1 0.639 0.750 0.596
Zr2 0.139 0.750 0.904
Ga1 0.106 0.750 0.250
Ga2 0.894 0.250 0.750
Ga3 0.606 0.750 0.250
Ag1 0.872 0.250 0.425
Zr3 0.861 0.250 0.096
Ag2 0.628 0.750 0.925
Ga4 0.394 0.250 0.750
Zr4 0.361 0.250 0.404
Ag3 0.372 0.250 0.075
Ag4 0.128 0.750 0.575

2.
Compound: ZrGaAg
Source: Alexandria via LeMat-Bulk
Functional: PBE
Structure: relaxed

Computed properties:
- total DFT energy (no corrections) (eV/atom) = -5.12
- E_form (eV/atom) = -0.313

Cell: 3.955 7.790 3.955 Å, 104.60 89.97 75.40°
Positions (direct):
Ga1 0.998 0.472 0.551
Ag1 0.131 0.207 0.918
Zr1 0.808 0.851 0.741
Zr2 0.453 0.562 0.096
Ag2 0.631 0.207 0.418
Ga2 0.262 0.941 0.287

3.
Compound: Zr2Ga2Ag
Source: Alexandria via LeMat-Bulk
Functional: PBE
Structure: relaxed

Computed properties:
- total DFT energy (no corrections) (eV/atom) = -5.30
- E_form (eV/atom) = -0.095

Cell: 8.164 8.164 3.091 Å, 90.00 90.00 90.00°
Positions (direct):
Ag1 0.500 0.500 0.000
Ag2 0.000 0.000 0.000
Ga1 0.170 0.670 0.500
Ga2 0.670 0.830 0.500
Zr1 0.132 0.368 0.000
Ga3 0.830 0.330 0.500
Zr2 0.632 0.132 0.000
Ga4 0.330 0.170 0.500
Zr3 0.868 0.632 0.000
Zr4 0.368 0.868 0.000

Number 1: total magnetization 0.00 μB/cell. Number 2: total magnetization 0.00 μB/cell. Number 3: total magnetization 0.00 μB/cell.